DFT (GGA-PBEsol) results for a geometry-optimized RuPtCl2 structure.

Cell lengths 8.275, 8.275, 8.275 Å; angles 20.67, 20.67, 20.67 degrees
Sites, in units of the cell vectors:
Ru 0.000 0.000 0.000
Pt 0.500 0.500 0.500
Cl 0.263 0.263 0.263
Cl 0.737 0.737 0.737

Summary:
As for the uncorrected formation energy: 1.99 eV per formula unit. For the uncorrected energy, the calculation gives -4.7916 eV/atom. Its crystal system is trigonal. Its polymorph energy (0 for the lowest one) is 2.42 kJ per mole of atoms. The density of states at the Fermi level comes out at 4.27 states/eV per cell.

DFT (GGA-PBEsol) results for a geometry-optimized PtSCl2 structure.

Cell lengths 11.118, 11.118, 11.118 Å; angles 14.63, 14.63, 14.63 degrees
Sites, in units of the cell vectors:
Pt 0.000 0.000 0.000
S 0.500 0.500 0.500
Cl 0.068 0.068 0.068
Cl 0.932 0.932 0.932

Summary:
As for the uncorrected formation energy: 1.36 eV per formula unit. For the uncorrected energy, the calculation gives -3.5004 eV/atom. Its crystal system is trigonal. The density of states at the Fermi level comes out at 3.77 states/eV per cell.

DFT (GGA-PBEsol) results for a geometry-optimized PtS2Cl6 structure.

Cell lengths 4.546, 6.616, 8.097 Å; angles 102.62, 95.90, 92.55 degrees
Sites, in units of the cell vectors:
Pt 0.000 0.000 0.000
S 0.292 0.229 0.206
S 0.708 0.771 0.794
Cl 0.073 0.495 0.218
Cl 0.244 0.174 0.438
Cl 0.298 0.129 0.830
Cl 0.702 0.871 0.170
Cl 0.756 0.826 0.562
Cl 0.927 0.505 0.782

Summary:
As for the uncorrected formation energy: -2.65 eV per formula unit. For the uncorrected energy, the calculation gives -3.3812 eV/atom. Its crystal system is triclinic. The density of states at the Fermi level comes out at 0.00 states/eV per cell.

DFT (GGA-PBEsol) results for a geometry-optimized SbPtSCl2 structure.

Cell lengths 4.998, 4.998, 5.163 Å; angles 90.00, 90.00, 90.00 degrees
Sites, in units of the cell vectors:
Sb 0.000 0.000 0.000
Pt 0.500 0.500 0.500
S 0.000 0.000 0.500
Cl 0.000 0.500 0.000
Cl 0.500 0.000 0.000

Summary:
As for the uncorrected formation energy: 3.56 eV per formula unit. For the uncorrected energy, the calculation gives -3.2715 eV/atom. Its crystal system is tetragonal. The density of states at the Fermi level comes out at 7.37 states/eV per cell.

DFT (GGA-PBEsol) results for a geometry-optimized TaPtSCl2 structure.

Cell lengths 4.647, 4.647, 4.778 Å; angles 90.00, 90.00, 90.00 degrees
Sites, in units of the cell vectors:
Ta 0.000 0.000 0.000
Pt 0.500 0.500 0.500
S 0.000 0.000 0.500
Cl 0.000 0.500 0.000
Cl 0.500 0.000 0.000

Summary:
As for the uncorrected formation energy: 1.32 eV per formula unit. For the uncorrected energy, the calculation gives -5.3193 eV/atom. Its crystal system is tetragonal. Its polymorph energy (0 for the lowest one) is 0.00 kJ per mole of atoms. The density of states at the Fermi level comes out at 7.09 states/eV per cell.

DFT (GGA-PBEsol) results for a geometry-optimized TaPtSCl2 structure.

Cell lengths 4.634, 4.634, 4.778 Å; angles 90.00, 90.00, 90.00 degrees
Sites, in units of the cell vectors:
Ta 0.000 0.000 0.000
Pt 0.500 0.500 0.500
S 0.500 0.500 0.000
Cl 0.000 0.500 0.500
Cl 0.500 0.000 0.500

Summary:
As for the uncorrected formation energy: 4.17 eV per formula unit. For the uncorrected energy, the calculation gives -4.7485 eV/atom. Its crystal system is tetragonal. Its polymorph energy (0 for the lowest one) is 55.08 kJ per mole of atoms. The density of states at the Fermi level comes out at 4.79 states/eV per cell.